[1]
Computed, not measured: Ba5Ni2I2 after structural relaxation at the PBE level of DFT.

Summary:
- ρ: 4.9 Mg/m³
- Raw formation energy: -0.519 eV/atom

a = 10.3356 Å, b = 10.3356 Å, c = 8.7703 Å
α = 90.00°, β = 90.00°, γ = 50.26°
Positions (direct):
Ba 0.0000 0.0000 0.0000
Ba 0.0498 0.7198 0.6646
Ba 0.2198 0.5498 0.1646
Ba 0.2802 0.9502 0.6646
Ba 0.4502 0.7802 0.1646
Ba 0.5000 0.5000 0.5000
Ba 0.5498 0.2198 0.8354
Ba 0.7198 0.0498 0.3354
Ba 0.7802 0.4502 0.8354
Ba 0.9502 0.2802 0.3354
Ni 0.1008 0.8992 0.3999
Ni 0.3992 0.6008 0.8999
Ni 0.6008 0.3992 0.1001
Ni 0.8992 0.1008 0.6001
I 0.2181 0.2181 0.0000
I 0.2819 0.2819 0.5000
I 0.7181 0.7181 0.5000
I 0.7819 0.7819 0.0000

[2]
Computed, not measured: BaNiI6 after structural relaxation at the PBE level of DFT.

Summary:
- ρ: 4.6 Mg/m³
- Raw formation energy: -0.619 eV/atom

a = 6.9267 Å, b = 7.5038 Å, c = 8.2315 Å
α = 115.57°, β = 109.13°, γ = 96.48°
Positions (direct):
Ba 0.0000 0.0000 0.0000
Ni 0.5000 0.5000 0.5000
I 0.2009 0.5297 0.1602
I 0.2152 0.2695 0.5192
I 0.4440 0.8241 0.7487
I 0.5560 0.1759 0.2513
I 0.7848 0.7305 0.4808
I 0.7991 0.4703 0.8398

Copy entry 1 word for word.
Computed, not measured: Ba5Ni2I2 after structural relaxation at the PBE level of DFT.

Summary:
- ρ: 4.9 Mg/m³
- Raw formation energy: -0.519 eV/atom

a = 10.3356 Å, b = 10.3356 Å, c = 8.7703 Å
α = 90.00°, β = 90.00°, γ = 50.26°
Positions (direct):
Ba 0.0000 0.0000 0.0000
Ba 0.0498 0.7198 0.6646
Ba 0.2198 0.5498 0.1646
Ba 0.2802 0.9502 0.6646
Ba 0.4502 0.7802 0.1646
Ba 0.5000 0.5000 0.5000
Ba 0.5498 0.2198 0.8354
Ba 0.7198 0.0498 0.3354
Ba 0.7802 0.4502 0.8354
Ba 0.9502 0.2802 0.3354
Ni 0.1008 0.8992 0.3999
Ni 0.3992 0.6008 0.8999
Ni 0.6008 0.3992 0.1001
Ni 0.8992 0.1008 0.6001
I 0.2181 0.2181 0.0000
I 0.2819 0.2819 0.5000
I 0.7181 0.7181 0.5000
I 0.7819 0.7819 0.0000

Number 1 is which compound?
Ba5Ni2I2

Number 2 is which compound?
BaNiI6